[1]
Below is an optimized crystal structure of La2Ga3Ge, with properties calculated at the GGA-PBE level.

Output
symmetry	Pmm2, No. 25
excess energy over the best structure of this formula in the dataset	0	kJ/mol of formula units
uncorrected energy	-4.67	eV/atom
DOS at the Fermi energy	1.82	states/eV/cell
calculated formation energy	-0.746	eV per atom

Cell lengths 4.4271, 4.3075, 7.4604 Å; angles 90.00, 90.00, 90.00 degrees
With the nearest neighbours (Å) after each atom.
Fractional positions:
Ga: 0.5000 0.0000 0.1614  1 Ga 2.47, 2 Ge 2.52
Ge: 0.5000 0.5000 0.3367  3 Ga 2.50-2.52
La: 0.0000 0.5000 0.0043  10 Ga 3.30-3.35, 2 Ge 3.32
Ga: 0.5000 0.0000 0.8301  3 Ga 2.46-2.47
Ga: 0.5000 0.5000 0.6713  2 Ga 2.46, 1 Ge 2.50
La: 0.0000 0.0000 0.4961  4 Ge 3.31, 8 Ga 3.33-3.35



[2]
Below is an optimized crystal structure of TaMnRu2, with properties calculated at the GGA-PBE level.

Output
symmetry	Fm-3m, No. 225
excess energy over the best structure of this formula in the dataset	1	kJ/mol of formula units
uncorrected energy	-10.15	eV/atom
DOS at the Fermi energy	3.55	states/eV/cell
calculated formation energy	-0.257	eV per atom

Cell lengths 4.3863, 4.3863, 4.3863 Å; angles 60.00, 60.00, 60.00 degrees
With the nearest neighbours (Å) after each atom.
Fractional positions:
Mn: 0.0000 0.0000 0.0000  8 Ru 2.69
Ta: 0.5000 0.5000 0.5000  8 Ru 2.69
Ru: 0.2500 0.2500 0.2500  4 Ta 2.69, 4 Mn 2.69
Ru: 0.7500 0.7500 0.7500  4 Ta 2.69, 4 Mn 2.69



Which of these has the lowest DOS at the Fermi energy? La2Ga3Ge